! Y3BiC (PBE-GGA, optimized geometry); values from VASP
&SYSTEM
  ibrav = 0, nat = 20, ntyp = 3
/
ATOMIC_SPECIES
Bi 208.98 Bi.upf
Y 88.91 Y.upf
C 12.01 C.upf
CELL_PARAMETERS angstrom
-4.0255 -3.0597 -1.2001
5.6855 -2.8664 -11.7630
3.7750 -6.2826 3.3555
ATOMIC_POSITIONS crystal
Bi 0.5000 0.0000 0.0000
Bi 0.0000 0.5000 0.5000
Bi 0.5000 0.5000 0.0000
Bi 0.0000 0.0000 0.5000
Y 0.0000 0.3747 0.0996
Y 0.5000 0.1253 0.4004
Y 0.5001 0.7500 0.1160
Y 0.5000 0.3747 0.4004
Y 0.0000 0.6253 0.9004
Y 0.0000 0.1253 0.0996
Y 0.9999 0.2500 0.6160
Y 0.0001 0.7500 0.3840
Y 0.5000 0.8747 0.5996
Y 0.5000 0.6253 0.5996
Y 0.4999 0.2500 0.8840
Y 0.0000 0.8747 0.9004
C 0.5000 0.7500 0.4082
C 0.0000 0.7500 0.0918
C 0.5000 0.2500 0.5918
C 0.0000 0.2500 0.9082
! - SG: No. 74
! - Crystal system: orthorhombic
! - DFT formation energy: -0.37 eV/atom
! - Total moment: 0.0 μB/cell
! - N(E_F): 0.100 states/eV/atom
! - Theoretical density: 5.78 Mg/m³